Rb7TeH2I2 | PBE | relaxed

Uncorrected energy   -57.4 eV for the cell shown
Density of states at the Fermi level   0.17 states/eV per atom
ρ   3.12 g cm⁻³

CIF file:
```
data_Rb7TeH2I2
_chemical_formula_sum 'Rb14 Te2 H4 I4'
_symmetry_space_group_name_H-M 'I 4/m m m'
_symmetry_Int_Tables_number 139
_symmetry_space_group_name_Hall '-I 4 2'
_cell_length_a 5.6926
_cell_length_b 5.6926
_cell_length_c 32.2656
_cell_angle_alpha 90.00
_cell_angle_beta 90.00
_cell_angle_gamma 90.00
loop_
_atom_site_label
_atom_site_fract_x
_atom_site_fract_y
_atom_site_fract_z
Rb1 0.0000 0.0000 0.0000
Rb2 0.0000 0.0000 0.2036
Rb3 0.0000 0.5000 0.0866
Te1 0.0000 0.0000 0.5000
H1 0.0000 0.0000 0.0895
I1 0.0000 0.0000 0.3369
```